1.
A plane-wave DFT calculation with GGA-PBE was carried out for RbNaNpCl5 after structural relaxation.

It has space group C2/c (No. 15), with a = 9.2408 Å, b = 12.9659 Å, c = 10.3693 Å, α = 90.00°, β = 113.08° and γ = 90.00°. Symmetry generates all atoms from Rb at (0.0000, 0.1599, 0.2500), Na at (0.0000, 0.1870, 0.7500), Np at (0.0000, 0.5000, 0.0000), Cl at (0.0000, 0.4238, 0.2500), Cl at (0.1072, 0.3064, 0.5959) and Cl at (0.1939, 0.0520, 0.9354).

The total energy is -155.5 eV/cell.

***

2.
A plane-wave DFT calculation with GGA-PBE was carried out for RbNaNp2Cl8 after structural relaxation.

It has space group P-1 (No. 2), with a = 6.7910 Å, b = 7.0002 Å, c = 8.6453 Å, α = 90.54°, β = 90.81° and γ = 94.02°. Symmetry generates all atoms from Rb at (0.0000, 0.0000, 0.0000), Na at (0.0000, 0.0000, 0.5000), Np at (0.4997, 0.5001, 0.2565), Cl at (0.2446, 0.1911, 0.2818), Cl at (0.2483, 0.1873, 0.7269), Cl at (0.2939, 0.6528, 0.4994) and Cl at (0.3001, 0.6383, 0.9986).

The total energy is -64.1 eV/cell.

***

3.
A plane-wave DFT calculation with GGA-PBE was carried out for Rb2NaNpCl8 after structural relaxation.

It has space group P-1 (No. 2), with a = 6.7920 Å, b = 7.1196 Å, c = 9.9266 Å, α = 90.03°, β = 90.05° and γ = 95.63°. Symmetry generates all atoms from Rb at (0.0006, 0.0008, 0.2302), Na at (0.5000, 0.5000, 0.0000), Np at (0.5000, 0.5000, 0.5000), Cl at (0.2427, 0.2141, 0.9996), Cl at (0.2847, 0.1864, 0.5006), Cl at (0.2847, 0.6212, 0.3191) and Cl at (0.2870, 0.6220, 0.6818).

The total energy is -50.8 eV/cell.

***

4.
A plane-wave DFT calculation with GGA-PBE was carried out for Rb3Na2NpCl9 after structural relaxation.

It has space group P-3m1 (No. 164), with a = 7.6796 Å, b = 7.6796 Å, c = 9.6572 Å, α = 90.00°, β = 90.00° and γ = 120.00°. Symmetry generates all atoms from Rb at (0.0000, 0.0000, 0.0000), Rb at (0.3333, 0.6667, 0.7483), Na at (0.3333, 0.6667, 0.1541), Np at (0.0000, 0.0000, 0.5000), Cl at (0.0000, 0.5000, 0.0000) and Cl at (0.1593, 0.3185, 0.3419).

The total energy is -62.3 eV/cell.

***

5.
A plane-wave DFT calculation with GGA-PBE was carried out for RbNa2NpCl6 after structural relaxation.

It has space group R3 (No. 146, hexagonal axes), with a = 7.3246 Å, b = 7.3246 Å, c = 20.0588 Å, α = 90.00°, β = 90.00° and γ = 120.00°. Symmetry generates all atoms from Rb at (0.0000, 0.0000, 0.0000), Na at (0.0000, 0.0000, 0.2818), Na at (0.0000, 0.0000, 0.7943), Np at (0.0000, 0.0000, 0.4784), Cl at (0.0007, 0.3420, 0.2124) and Cl at (0.0250, 0.5987, 0.0537).

The total energy is -137.1 eV/cell.

***

6.
A plane-wave DFT calculation with GGA-PBE was carried out for NaNpSn2Cl8 after structural relaxation.

It has space group P-1 (No. 2), with a = 6.5041 Å, b = 6.7412 Å, c = 8.6410 Å, α = 89.99°, β = 89.94° and γ = 88.96°. Symmetry generates all atoms from Na at (0.0000, 0.0000, 0.0000), Np at (0.0000, 0.0000, 0.5000), Sn at (0.4985, 0.5024, 0.2402), Cl at (0.2035, 0.8198, 0.7428), Cl at (0.2316, 0.8486, 0.2588), Cl at (0.2572, 0.3154, 0.5282) and Cl at (0.2850, 0.3317, 0.9803).

The total energy is -53.4 eV/cell.

***

7.
A plane-wave DFT calculation with GGA-PBE was carried out for Na2NpSnCl8 after structural relaxation.

It has space group P2/m (No. 10), with a = 6.4842 Å, b = 8.5749 Å, c = 6.6311 Å, α = 90.00°, β = 93.28° and γ = 90.00°. Symmetry generates all atoms from Na at (0.0000, 0.2396, 0.0000), Np at (0.5000, 0.5000, 0.5000), Sn at (0.5000, 0.0000, 0.5000), Cl at (0.2141, 0.0000, 0.1836), Cl at (0.2261, 0.5000, 0.1949) and Cl at (0.2973, 0.2735, 0.6694).

The total energy is -52.6 eV/cell.

***

8.
A plane-wave DFT calculation with GGA-PBE was carried out for NaNpSnCl6 after structural relaxation.

It has space group P-31c (No. 163), with a = 7.0977 Å, b = 7.0977 Å, c = 12.3975 Å, α = 90.00°, β = 90.00° and γ = 120.00°. Symmetry generates all atoms from Na at (0.3333, 0.6667, 0.2500), Np at (0.3333, 0.6667, 0.7500), Sn at (0.0000, 0.0000, 0.0000) and Cl at (0.0108, 0.3456, 0.6280).

The total energy is -85.3 eV/cell.

***

What is the formula in the sixth record? NaNpSn2Cl8